1.
## TbDySi2Pt (PBE-GGA)

Data for crystalline TbDySi2Pt at its relaxed geometry.

a = 5.607 Å, b = 5.607 Å, c = 10.229 Å
α = 115.63°, β = 115.63°, γ = 45.02°
Site moments in Bohr magnetons follow the coordinates.
Fractional coordinates of all 10 atoms:
1 Pt 0.273 0.273 0.158  0.01
2 Si 0.518 0.518 0.388  0.00
3 Pt 0.727 0.727 0.842  0.01
4 Tb 0.007 0.007 0.825  0.04
5 Si 0.482 0.482 0.612  0.00
6 Tb 0.993 0.993 0.175  0.04
7 Si 0.641 0.641 0.057  0.00
8 Dy 0.811 0.811 0.390  0.10
9 Si 0.359 0.359 0.943  0.00
10 Dy 0.189 0.189 0.610  0.10

Calculated values
Raw total energy: -6.26 eV/atom
Calculated volume: 201 Å³/cell



2.
## TbDySi2Pt4 (PBE-GGA)

Data for crystalline TbDySi2Pt4 at its relaxed geometry.

a = 7.097 Å, b = 5.457 Å, c = 5.457 Å
α = 41.85°, β = 90.00°, γ = 90.00°
Fractional coordinates of all 8 atoms:
1 Tb 0.500 0.447 0.447
2 Pt 0.300 0.144 0.144
3 Pt 0.200 0.856 0.856
4 Si 0.500 0.730 0.730
5 Pt 0.700 0.144 0.144
6 Si 0.000 0.270 0.270
7 Dy 0.000 0.553 0.553
8 Pt 0.800 0.856 0.856

Calculated values
Raw total energy: -6.69 eV/atom
Calculated volume: 141 Å³/cell



3.
## DyTmSi2Pt4 (PBE-GGA)

Data for crystalline DyTmSi2Pt4 at its relaxed geometry.

a = 7.103 Å, b = 5.439 Å, c = 5.439 Å
α = 41.45°, β = 90.00°, γ = 90.00°
Fractional coordinates of all 8 atoms:
1 Tm 0.500 0.449 0.449
2 Pt 0.201 0.858 0.858
3 Dy 0.000 0.551 0.551
4 Pt 0.301 0.142 0.142
5 Pt 0.699 0.142 0.142
6 Si 0.000 0.269 0.269
7 Pt 0.799 0.858 0.858
8 Si 0.500 0.731 0.731

Calculated values
Raw total energy: -6.69 eV/atom
Calculated volume: 139 Å³/cell